Entry 1:
First-principles (PBE-GGA) data for crystalline LiSn3F at its relaxed geometry, as listed in Alexandria via LeMat-Bulk.

Results
Magnetization ... 0.00 μB/f.u.
Formation energy without anion corrections ... -0.43 eV per atom
Electronic total energy ... -17.9 eV for the cell shown

abc: 4.975 4.975 4.975
angles: 90.00 90.00 90.00
Space group Pm-3m (No. 221)
Inequivalent atoms, fractional coordinates:
Li (0.000, 0.000, 0.000)
Sn (0.000, 0.500, 0.500)
F (0.500, 0.500, 0.500)

---

Entry 2:
First-principles (PBE-GGA) data for crystalline Li3Sn5F12 at its relaxed geometry, as listed in Alexandria via LeMat-Bulk.

Results
Magnetization ... 0.00 μB/f.u.
Formation energy without anion corrections ... -2.07 eV per atom
Electronic total energy ... -717.2 eV for the cell shown

abc: 13.901 13.901 13.901
angles: 90.00 90.00 90.00
Space group Ia-3d (No. 230)
Inequivalent atoms, fractional coordinates:
Li (0.000, 0.250, 0.125)
Sn (0.000, 0.000, 0.000)
Sn (0.000, 0.250, 0.375)
F (0.024, 0.086, 0.650)

---

Entry 3:
First-principles (PBE-GGA) data for crystalline Li2SnF at its relaxed geometry, as listed in Alexandria via LeMat-Bulk.

Results
Magnetization ... 0.00 μB/f.u.
Formation energy without anion corrections ... -1.36 eV per atom
Electronic total energy ... -15.1 eV for the cell shown

abc: 2.924 2.924 7.187
angles: 90.00 90.00 90.00
Space group P4/mmm (No. 123)
Inequivalent atoms, fractional coordinates:
Li (0.000, 0.000, 0.178)
Sn (0.500, 0.500, 0.500)
F (0.500, 0.500, 0.000)